VASP calculation (GGA-PBE) on crystalline Zn3Cu at its relaxed geometry.

Properties
Formation enthalpy at 0 K in eV/atom: 0.035
Density in kg/m³: 7134
Spin magnetization in μB per formula unit: 0.000
Volume in Å³ per cell: 120.9

Lattice parameters (Å, degrees): 5.3074 5.3074 4.2944 90.00 90.00 91.35
Sites, in units of the cell vectors:
Zn  0.8885  0.5558  0.7500
Zn  0.5558  0.8885  0.7500
Zn  0.0853  0.0853  0.7500
Zn  0.4442  0.1115  0.2500
Zn  0.9147  0.9147  0.2500
Zn  0.1115  0.4442  0.2500
Cu  0.4122  0.4122  0.7500
Cu  0.5878  0.5878  0.2500

---

VASP calculation (GGA-PBE) on crystalline HfCdCl2F at its relaxed geometry.

Properties
E_form (uncorrected) in eV/atom: 0.106
Density in kg/m³: 4287
Spin magnetization in μB per formula unit: 1.116
Volume in Å³ per cell: 147.5

Lattice parameters (Å, degrees): 4.9008 6.1418 4.9008 90.00 90.00 90.00
Each line ends with the local moment (μB).
Sites, in units of the cell vectors:
Hf  0.0000  0.5000  0.0000  0.74
Cl  0.0000  0.0000  0.5000  0.01
Cl  0.5000  0.0000  0.0000  0.00
F  0.5000  0.5000  0.5000  0.01
Cd  0.0000  0.0000  0.0000  0.00

---

VASP calculation (GGA-PBE) on crystalline Ca2BeAl at its relaxed geometry.

Properties
Formation enthalpy at 0 K in eV/atom: 0.113
Density in kg/m³: 2032
Spin magnetization in μB per formula unit: 0.000
Volume in Å³ per cell: 94.9
Energy above the lowest structure with this stoichiometry in meV/atom: 120

Lattice parameters (Å, degrees): 3.6186 3.5163 8.2483 64.72 90.00 90.00
Sites, in units of the cell vectors:
Al  0.5000  0.2500  0.2500
Ca  0.0000  0.4816  0.5183
Ca  0.0000  0.0184  0.9817
Be  0.5000  0.7500  0.7500

---

VASP calculation (GGA-PBE) on crystalline ZnInCo at its relaxed geometry.

Properties
Formation enthalpy at 0 K in eV/atom: 0.117
Density in kg/m³: 8567
Spin magnetization in μB per formula unit: 0.575
Volume in Å³ per cell: 46.4
Energy above the lowest structure with this stoichiometry in meV/atom: 121

Lattice parameters (Å, degrees): 5.2019 5.2019 5.2019 144.88 144.87 50.52
Each line ends with the local moment (μB).
Sites, in units of the cell vectors:
Co  0.0162  0.0162  0.0000  0.65
In  0.3436  0.3436  0.0000  -0.01
Zn  0.6402  0.6402  0.0000  -0.02

---

VASP calculation (GGA-PBE) on crystalline ZrMnOsRh at its relaxed geometry.

Properties
Formation enthalpy at 0 K in eV/atom: -0.273
Density in kg/m³: 11381
Spin magnetization in μB per formula unit: 4.245
Volume in Å³ per cell: 64.1

Lattice parameters (Å, degrees): 4.4921 4.4921 4.4921 60.00 60.00 60.00
Each line ends with the local moment (μB).
Sites, in units of the cell vectors:
Mn  0.5000  0.5000  0.5000  3.60
Zr  0.0000  0.0000  0.0000  0.03
Rh  0.2500  0.2500  0.2500  0.30
Os  0.7500  0.7500  0.7500  0.18

---

VASP calculation (GGA-PBE) on crystalline Tb2Pm2SmY4 at its relaxed geometry.

Properties
Formation enthalpy at 0 K in eV/atom: -0.005
Density in kg/m³: 6255
Spin magnetization in μB per formula unit: 0.000
Volume in Å³ per cell: 295.7

Lattice parameters (Å, degrees): 3.6230 9.5811 9.6303 115.24 90.00 100.90
Sites, in units of the cell vectors:
Tb  0.8520  0.7039  0.3352
Tb  0.1480  0.2961  0.6648
Y  0.1857  0.3714  0.3351
Y  0.5192  0.0383  0.3357
Y  0.8143  0.6286  0.6649
Y  0.4808  0.9617  0.6643
Pm  0.3336  0.6672  0.0010
Pm  0.6664  0.3328  0.9990
Sm  0.0000  0.0000  0.0000

---

VASP calculation (GGA-PBE) on crystalline LiAc2OsS6 at its relaxed geometry.

Properties
E_form (uncorrected) in eV/atom: -1.233
Density in kg/m³: 6493
Spin magnetization in μB per formula unit: 1.964
Volume in Å³ per cell: 215.7

Lattice parameters (Å, degrees): 7.0133 6.4933 7.0148 122.72 120.07 90.08
Each line ends with the local moment (μB).
Sites, in units of the cell vectors:
S  0.6790  0.7423  0.9094  0.06
S  0.3197  0.2578  0.0881  0.07
S  0.1670  0.2563  0.4877  0.07
S  0.7687  0.2565  0.9364  0.06
S  0.8318  0.7432  0.5119  0.06
S  0.2328  0.7454  0.0646  0.06
Os  0.0009  0.0009  0.0008  1.13
Li  0.5006  0.5008  0.9999  0.00
Ac  0.2493  0.7502  0.4992  0.03
Ac  0.7492  0.2506  0.4999  0.03

---

VASP calculation (GGA-PBE) on crystalline Pm3Ga2Pb at its relaxed geometry.

Properties
Formation enthalpy at 0 K in eV/atom: -0.481
Density in kg/m³: 7956
Spin magnetization in μB per formula unit: 0.000
Volume in Å³ per cell: 163.1
Energy above the lowest structure with this stoichiometry in meV/atom: 49

Lattice parameters (Å, degrees): 4.1355 4.8062 8.4647 90.00 104.14 90.00
Sites, in units of the cell vectors:
Pm  0.5000  0.5000  0.0000
Pm  0.6661  0.0000  0.3322
Pm  0.3339  0.0000  0.6678
Pb  0.0000  0.0000  0.0000
Ga  0.1962  0.5000  0.3923
Ga  0.8038  0.5000  0.6077

---

VASP calculation (GGA-PBE) on crystalline Sm8Ge5Te at its relaxed geometry.

Properties
E_form (uncorrected) in eV/atom: -0.897
Density in kg/m³: 7470
Spin magnetization in μB per formula unit: 0.000
Volume in Å³ per cell: 376.5

Lattice parameters (Å, degrees): 7.8790 7.8790 7.8790 109.22 109.98 109.22
Sites, in units of the cell vectors:
Sm  0.2596  0.2430  0.3612
Sm  0.4970  0.6211  0.2509
Sm  0.6298  0.3789  0.8759
Sm  0.9835  0.1016  0.7404
Sm  0.1241  0.7539  0.5030
Sm  0.6388  0.8984  0.8819
Sm  0.1181  0.7570  0.0165
Sm  0.7491  0.2461  0.3702
Ge  0.5000  0.0000  0.5000
Ge  0.0052  0.3781  0.1259
Ge  0.7478  0.6219  0.6270
Ge  0.3730  0.1208  0.9948
Ge  0.8741  0.8792  0.2522
Te  0.2500  0.5000  0.7500

---

VASP calculation (GGA-PBE) on crystalline Tb2Si2Tc at its relaxed geometry.

Properties
E_form (uncorrected) in eV/atom: -0.517
Density in kg/m³: 6929
Spin magnetization in μB per formula unit: 0.000
Volume in Å³ per cell: 226.2
Energy above the lowest structure with this stoichiometry in meV/atom: 220

Lattice parameters (Å, degrees): 6.0587 6.3029 7.3625 115.34 114.30 90.00
Sites, in units of the cell vectors:
Si  0.3966  0.6238  0.7931
Si  0.8966  0.1693  0.7931
Si  0.6034  0.3762  0.2069
Si  0.1034  0.8307  0.2069
Tb  0.1453  0.3394  0.2906
Tb  0.8547  0.6606  0.7094
Tb  0.6453  0.9513  0.2906
Tb  0.3547  0.0487  0.7094
Tc  0.7500  0.5000  0.0000
Tc  0.2500  0.5000  0.0000

---

VASP calculation (GGA-PBE) on crystalline AcZn4Pt at its relaxed geometry.

Properties
Formation enthalpy at 0 K in eV/atom: -0.435
Density in kg/m³: 9257
Spin magnetization in μB per formula unit: 0.000
Volume in Å³ per cell: 245.3
Energy above the lowest structure with this stoichiometry in meV/atom: 0

Lattice parameters (Å, degrees): 4.1479 7.4116 7.9787 90.00 90.00 90.00
Sites, in units of the cell vectors:
Zn  0.5000  0.9521  0.7500
Zn  0.5000  0.7240  0.0550
Zn  0.5000  0.2760  0.9450
Zn  0.5000  0.7240  0.4450
Zn  0.5000  0.2760  0.5550
Zn  0.0000  0.0000  0.5000
Zn  0.0000  0.0000  0.0000
Zn  0.5000  0.0479  0.2500
Pt  0.0000  0.7990  0.2500
Pt  0.0000  0.2010  0.7500
Ac  0.0000  0.3899  0.2500
Ac  0.0000  0.6101  0.7500

---

VASP calculation (GGA-PBE) on crystalline TaGeO at its relaxed geometry.

Properties
E_form (uncorrected) in eV/atom: -1.059
Density in kg/m³: 9618
Spin magnetization in μB per formula unit: 0.000
Volume in Å³ per cell: 186.2
Energy above the lowest structure with this stoichiometry in meV/atom: 169

Lattice parameters (Å, degrees): 5.8671 3.1088 10.2600 90.00 95.82 90.00
Sites, in units of the cell vectors:
Ge  0.8350  0.0000  0.5584
Ge  0.1650  0.0000  0.4416
Ge  0.1650  0.5000  0.9416
Ge  0.8350  0.5000  0.0584
O  0.4106  0.0000  0.1620
O  0.5894  0.5000  0.3380
O  0.4106  0.5000  0.6620
O  0.5894  0.0000  0.8380
Ta  0.7576  0.5000  0.7614
Ta  0.2424  0.0000  0.7386
Ta  0.7576  0.0000  0.2614
Ta  0.2424  0.5000  0.2386

---

VASP calculation (GGA-PBE) on crystalline CdSiRuO6 at its relaxed geometry.

Properties
E_form (uncorrected) in eV/atom: -1.426
Density in kg/m³: 5376
Spin magnetization in μB per formula unit: 2.006
Volume in Å³ per cell: 104.3

Lattice parameters (Å, degrees): 4.9712 4.9712 4.8718 90.00 90.00 60.00
Each line ends with the local moment (μB).
Sites, in units of the cell vectors:
O  0.3638  0.6149  0.2912  0.08
O  0.0213  0.3639  0.2912  0.08
O  0.3638  0.0213  0.7088  0.08
O  0.0213  0.6149  0.7088  0.08
O  0.6148  0.0213  0.2912  0.08
O  0.6148  0.3639  0.7088  0.08
Si  0.3333  0.3333  0.5000  0.02
Cd  0.0000  0.0000  0.0000  0.02
Ru  0.6666  0.6667  0.5000  1.33

---

VASP calculation (GGA-PBE) on crystalline TcTeBr at its relaxed geometry.

Properties
E_form (uncorrected) in eV/atom: -0.028
Density in kg/m³: 5951
Spin magnetization in μB per formula unit: 2.001
Volume in Å³ per cell: 85.2
Energy above the lowest structure with this stoichiometry in meV/atom: 45

Lattice parameters (Å, degrees): 3.7034 3.7034 7.1767 90.00 90.00 120.00
Each line ends with the local moment (μB).
Sites, in units of the cell vectors:
Br  0.0000  0.0000  0.1047  0.10
Tc  0.6667  0.3333  0.3349  1.78
Te  0.3333  0.6667  0.5604  -0.05

---

VASP calculation (GGA-PBE) on crystalline NaAcNpO6 at its relaxed geometry.

Properties
E_form (uncorrected) in eV/atom: -2.483
Density in kg/m³: 6526
Spin magnetization in μB per formula unit: 0.030
Volume in Å³ per cell: 296.7

Lattice parameters (Å, degrees): 5.7618 5.7618 10.3188 90.00 90.00 120.00
Sites, in units of the cell vectors:
O  0.6219  0.6710  0.6402
O  0.3781  0.3290  0.3598
O  0.3781  0.0490  0.1402
O  0.6219  0.9510  0.8598
O  0.0490  0.6710  0.8598
O  0.0490  0.3781  0.6402
O  0.6709  0.0490  0.3598
O  0.6709  0.6219  0.1402
O  0.3291  0.9510  0.6402
O  0.9510  0.6219  0.3598
O  0.9510  0.3290  0.1402
O  0.3291  0.3781  0.8598
Np  0.3333  0.6667  0.7500
Np  0.6667  0.3333  0.2500
Na  0.6667  0.3333  0.7500
Na  0.3333  0.6667  0.2500
Ac  0.0000  0.0000  0.5000
Ac  0.0000  0.0000  0.0000

---

VASP calculation (GGA-PBE) on crystalline Hf2TiPb at its relaxed geometry.

Properties
Formation enthalpy at 0 K in eV/atom: 0.001
Density in kg/m³: 11849
Spin magnetization in μB per formula unit: 0.950
Volume in Å³ per cell: 85.8

Lattice parameters (Å, degrees): 3.6635 3.6635 6.3909 90.00 90.00 90.00
Each line ends with the local moment (μB).
Sites, in units of the cell vectors:
Hf  0.0000  0.0000  0.2363  0.08
Hf  0.0000  0.0000  0.7637  0.08
Pb  0.5000  0.5000  0.5000  -0.01
Ti  0.5000  0.5000  0.0000  0.62

---

VASP calculation (GGA-PBE) on crystalline Ti6GeC at its relaxed geometry.

Properties
Formation enthalpy at 0 K in eV/atom: -0.169
Density in kg/m³: 4623
Spin magnetization in μB per formula unit: 0.000
Volume in Å³ per cell: 133.6

Lattice parameters (Å, degrees): 5.4063 5.4189 6.0973 63.78 64.09 60.23
Sites, in units of the cell vectors:
Ti  0.5906  0.2192  0.2236
Ti  0.7821  0.0306  0.7739
Ti  0.9664  0.5900  0.2253
Ti  0.2179  0.9694  0.2261
Ti  0.4094  0.7808  0.7764
Ti  0.0336  0.4100  0.7747
C  0.0000  0.0000  0.0000
Ge  0.5000  0.5000  0.5000

---

VASP calculation (GGA-PBE) on crystalline Ho8Tm3Sc4 at its relaxed geometry.

Properties
Formation enthalpy at 0 K in eV/atom: 0.392
Density in kg/m³: 7391
Spin magnetization in μB per formula unit: 0.548
Volume in Å³ per cell: 450.7

Lattice parameters (Å, degrees): 6.5650 9.0700 9.0700 80.82 114.00 114.00
Each line ends with the local moment (μB).
Sites, in units of the cell vectors:
Sc  0.5000  0.0000  0.0000  0.35
Sc  0.0000  0.0000  0.0000  -0.21
Sc  0.0000  0.5000  0.0000  0.03
Sc  0.0000  0.0000  0.5000  0.03
Ho  0.1731  0.2354  0.2354  -0.10
Ho  0.2374  0.7027  0.7027  0.00
Ho  0.7626  0.2973  0.2973  0.00
Ho  0.5000  0.2394  0.7606  0.19
Ho  0.0000  0.2968  0.7032  0.01
Ho  0.5000  0.7606  0.2394  0.19
Ho  0.0000  0.7032  0.2968  0.01
Ho  0.8269  0.7646  0.7646  -0.10
Tm  0.5000  0.5000  0.0000  0.01
Tm  0.5000  0.5000  0.5000  0.04
Tm  0.5000  0.0000  0.5000  0.01

---

VASP calculation (GGA-PBE) on crystalline Rb2PaNiS5 at its relaxed geometry.

Properties
E_form (uncorrected) in eV/atom: -1.082
Density in kg/m³: 3670
Spin magnetization in μB per formula unit: 0.028
Volume in Å³ per cell: 561.9

Lattice parameters (Å, degrees): 4.0443 10.1835 13.9216 90.00 90.00 101.45
Sites, in units of the cell vectors:
S  0.3126  0.6252  0.6506
S  0.6998  0.3997  0.8982
S  0.0698  0.1396  0.9697
S  0.3002  0.6003  0.3982
S  0.3258  0.6516  0.0221
S  0.6874  0.3748  0.1506
S  0.4900  0.9801  0.3072
S  0.9302  0.8604  0.4697
S  0.6742  0.3484  0.5221
S  0.5100  0.0199  0.8072
Rb  0.8766  0.7533  0.8440
Rb  0.8712  0.7424  0.1971
Rb  0.1288  0.2576  0.6971
Rb  0.1234  0.2467  0.3440
Ni  0.4127  0.8254  0.4083
Ni  0.5873  0.1746  0.9083
Pa  0.2011  0.4023  0.0268
Pa  0.7989  0.5977  0.5268

---

VASP calculation (GGA-PBE) on crystalline CaNd2TiO6 at its relaxed geometry.

Properties
E_form (uncorrected) in eV/atom: -3.103
Density in kg/m³: 5097
Spin magnetization in μB per formula unit: 0.000
Volume in Å³ per cell: 153.9

Lattice parameters (Å, degrees): 5.1742 5.4539 5.4539 90.00 90.00 90.00
Sites, in units of the cell vectors:
Nd  0.9908  0.5000  0.0000
Nd  0.9908  0.0000  0.5000
O  0.7322  0.2325  0.7675
O  0.7322  0.7675  0.7675
O  0.2421  0.0000  0.0000
O  0.1358  0.5000  0.5000
O  0.7322  0.2325  0.2325
O  0.7322  0.7675  0.2325
Ti  0.5967  0.0000  0.0000
Ca  0.5617  0.5000  0.5000